MgTa3Cd: optimized geometry, PBEsol.

Cell: 4.948 4.948 4.948 Å, 90.00 90.00 90.00°
Sites, in units of the cell vectors:
Mg (0.000, 0.000, 0.000)
Ta (0.000, 0.500, 0.500)
Ta (0.500, 0.000, 0.500)
Ta (0.500, 0.500, 0.000)
Cd (0.500, 0.500, 0.500)

***

BaSr2: optimized geometry, PBEsol.

Cell: 15.807 4.224 10.112 Å, 90.00 105.65 90.00°
Sites, in units of the cell vectors:
Ba (0.029, 0.000, 0.305)
Ba (0.471, 0.500, 0.695)
Ba (0.529, 0.500, 0.305)
Ba (0.971, 0.000, 0.695)
Sr (0.141, 0.500, 0.028)
Sr (0.197, 0.500, 0.641)
Sr (0.303, 0.000, 0.359)
Sr (0.359, 0.000, 0.972)
Sr (0.641, 0.000, 0.028)
Sr (0.697, 0.000, 0.641)
Sr (0.803, 0.500, 0.359)
Sr (0.859, 0.500, 0.972)

Summary:
As for the offset from the most stable computed form: 0.9 kJ/mol of atoms.

***

La2InGe2: optimized geometry, PBEsol.

Cell: 7.555 7.555 4.422 Å, 90.00 90.00 90.00°
Sites, in units of the cell vectors:
La (0.180, 0.320, 0.000)
La (0.320, 0.820, 0.000)
La (0.680, 0.180, 0.000)
La (0.820, 0.680, 0.000)
In (0.000, 0.000, 0.500)
In (0.500, 0.500, 0.500)
Ge (0.118, 0.618, 0.500)
Ge (0.382, 0.118, 0.500)
Ge (0.618, 0.882, 0.500)
Ge (0.882, 0.382, 0.500)

Summary:
As for the offset from the most stable computed form: 0.0 kJ/mol of atoms.

***

Ca2HfTaAu: optimized geometry, PBEsol.

Cell: 5.658 5.658 4.771 Å, 90.00 90.00 90.00°
Sites, in units of the cell vectors:
Ca (0.000, 0.500, 0.000)
Ca (0.500, 0.000, 0.000)
Hf (0.000, 0.000, 0.000)
Ta (0.000, 0.000, 0.500)
Au (0.500, 0.500, 0.500)

***

| no. | E_form (kcal/mol of atoms) | total DFT energy (no corrections) (eV/atom) | calculated density (Mg/m³) |
| --- | --- | --- | --- |
| 1 | 47.9 | -6.038 | 9.32 |
| 2 | 0.3 | -1.930 | 3.19 |
| 3 | -18.5 | -5.512 | 7.08 |
| 4 | 30.6 | -4.923 | 6.92 |